# 1
DyErHg: optimized geometry, PBE.

Structure (POSCAR):
```
DyErHg
1.0
3.594 0.000 0.000
0.000 3.594 0.000
-1.797 -1.797 6.408
Er Dy Hg
1 1 1
direct
0.013 0.013 0.027 Er
0.322 0.322 0.643 Dy
0.665 0.665 0.330 Hg
```

## Properties
**ΔH_f (0 K)**: -29.05 kJ/mol of atoms
**Size of the total moment**: 1.09 μB per formula unit
**Distance to the lowest polymorph of the same formula**: 63 meV per atom
**Final energy**: -10.37 eV per cell

=====

# 2
Np2TcGe: optimized geometry, PBE.

Structure (POSCAR):
```
Np2TcGe
1.0
-2.565 2.394 -2.328
-0.010 -2.952 -3.026
-3.352 -1.838 1.804
Np Tc Ge
2 1 1
direct
0.000 0.500 0.000 Np
0.000 0.000 0.500 Np
0.500 0.000 0.000 Tc
0.500 0.500 0.500 Ge
```

## Properties
**ΔH_f (0 K)**: -4.82 kJ/mol of atoms
**Size of the total moment**: 6.27 μB per formula unit
**Distance to the lowest polymorph of the same formula**: 14 meV per atom
**Final energy**: -41.06 eV per cell

=====

# 3
Pm2Pr3Te5: optimized geometry, PBE.

Structure (POSCAR):
```
Pm2Pr3Te5
1.0
4.180 0.000 0.928
1.668 7.894 2.366
0.053 -0.843 9.644
Pr Te Pm
3 5 2
direct
0.119 0.630 0.132 Pr
0.881 0.370 0.868 Pr
0.500 0.500 0.500 Pr
0.884 0.808 0.423 Te
0.116 0.192 0.577 Te
0.000 0.000 0.000 Te
0.719 0.351 0.211 Te
0.281 0.649 0.789 Te
0.348 0.058 0.246 Pm
0.652 0.942 0.754 Pm
```

## Properties
**Size of the total moment**: 0.00 μB per formula unit
**Uncorrected formation energy**: -1.339 eV/atom
**Final energy**: -52.94 eV per cell

=====

# 4
Pm12As5Ir3: optimized geometry, PBE.

Structure (POSCAR):
```
Pm12As5Ir3
1.0
-4.955 12.936 -5.171
3.075 -8.986 -11.332
-10.368 -6.195 8.530
Pm As Ir
48 20 12
direct
0.426 0.370 0.597 Pm
0.597 0.870 0.426 Pm
0.727 0.597 0.171 Pm
0.671 0.444 0.574 Pm
0.597 0.727 0.671 Pm
0.944 0.574 0.171 Pm
0.074 0.903 0.130 Pm
0.903 0.074 0.630 Pm
0.171 0.097 0.727 Pm
0.074 0.171 0.444 Pm
0.056 0.426 0.829 Pm
0.773 0.329 0.903 Pm
0.444 0.671 0.074 Pm
0.130 0.403 0.074 Pm
0.130 0.727 0.556 Pm
0.574 0.944 0.671 Pm
0.273 0.403 0.829 Pm
0.273 0.870 0.944 Pm
0.403 0.130 0.574 Pm
0.056 0.630 0.727 Pm
0.444 0.773 0.870 Pm
0.870 0.597 0.926 Pm
0.926 0.829 0.556 Pm
0.329 0.773 0.403 Pm
0.630 0.056 0.227 Pm
0.926 0.097 0.870 Pm
0.944 0.370 0.273 Pm
0.556 0.227 0.130 Pm
0.227 0.556 0.630 Pm
0.773 0.444 0.370 Pm
0.829 0.926 0.056 Pm
0.829 0.903 0.273 Pm
0.574 0.630 0.403 Pm
0.556 0.329 0.926 Pm
0.370 0.944 0.773 Pm
0.097 0.926 0.370 Pm
0.171 0.074 0.944 Pm
0.903 0.829 0.773 Pm
0.426 0.056 0.329 Pm
0.329 0.556 0.426 Pm
0.727 0.130 0.056 Pm
0.671 0.227 0.597 Pm
0.370 0.426 0.097 Pm
0.227 0.671 0.097 Pm
0.630 0.574 0.903 Pm
0.870 0.273 0.444 Pm
0.097 0.171 0.227 Pm
0.403 0.273 0.329 Pm
0.250 0.375 0.625 As
0.375 0.125 0.750 As
0.000 0.500 0.500 As
0.000 0.000 0.500 As
0.875 0.250 0.625 As
0.500 0.000 0.500 As
0.125 0.375 0.250 As
0.500 0.500 0.500 As
0.500 0.000 0.000 As
0.750 0.625 0.375 As
0.625 0.750 0.875 As
0.000 0.500 0.000 As
0.000 0.000 0.000 As
0.375 0.250 0.125 As
0.125 0.750 0.375 As
0.875 0.625 0.750 As
0.250 0.875 0.125 As
0.625 0.875 0.250 As
0.750 0.125 0.875 As
0.500 0.500 0.000 As
0.125 0.250 0.875 Ir
0.125 0.875 0.750 Ir
0.875 0.750 0.125 Ir
0.250 0.625 0.875 Ir
0.375 0.625 0.250 Ir
0.625 0.250 0.375 Ir
0.750 0.875 0.625 Ir
0.625 0.375 0.750 Ir
0.875 0.125 0.250 Ir
0.375 0.750 0.625 Ir
0.250 0.125 0.375 Ir
0.750 0.375 0.125 Ir
```

## Properties
**ΔH_f (0 K)**: -55.18 kJ/mol of atoms
**Size of the total moment**: 0.00 μB per formula unit
**Final energy**: -473.10 eV per cell

=====

# 5
ReCF2: optimized geometry, PBE.

Structure (POSCAR):
```
ReCF2
1.0
0.000 2.734 2.734
2.734 0.000 2.734
2.734 2.734 0.000
Re C F
1 1 2
direct
0.500 0.500 0.500 Re
0.000 0.000 0.000 C
0.750 0.750 0.750 F
0.250 0.250 0.250 F
```

## Properties
**Size of the total moment**: 0.95 μB per formula unit
**Distance to the lowest polymorph of the same formula**: 1398 meV per atom
**Uncorrected formation energy**: 1.305 eV/atom
**Final energy**: -20.19 eV per cell

=====

# 6
Er3Pd5Se12: optimized geometry, PBE.

Structure (POSCAR):
```
Er3Pd5Se12
1.0
-2.253 12.664 4.372
-7.149 -2.216 -11.337
-3.834 -8.844 9.572
Pd Se Er
20 48 12
direct
0.375 0.125 0.750 Pd
0.500 0.500 0.500 Pd
0.000 0.000 0.500 Pd
0.625 0.750 0.875 Pd
0.000 0.500 0.000 Pd
0.500 0.500 0.000 Pd
0.250 0.375 0.625 Pd
0.750 0.625 0.375 Pd
0.500 0.000 0.000 Pd
0.375 0.250 0.125 Pd
0.125 0.750 0.375 Pd
0.875 0.250 0.625 Pd
0.875 0.625 0.750 Pd
0.125 0.375 0.250 Pd
0.000 0.000 0.000 Pd
0.625 0.875 0.250 Pd
0.000 0.500 0.500 Pd
0.500 0.000 0.500 Pd
0.750 0.125 0.875 Pd
0.250 0.875 0.125 Pd
0.080 0.170 0.210 Se
0.080 0.911 0.370 Se
0.040 0.411 0.830 Se
0.130 0.420 0.089 Se
0.330 0.540 0.411 Se
0.830 0.920 0.290 Se
0.411 0.370 0.580 Se
0.589 0.630 0.420 Se
0.870 0.580 0.911 Se
0.630 0.589 0.920 Se
0.170 0.080 0.710 Se
0.370 0.960 0.790 Se
0.920 0.830 0.790 Se
0.420 0.290 0.330 Se
0.580 0.710 0.670 Se
0.670 0.210 0.580 Se
0.670 0.460 0.589 Se
0.580 0.870 0.411 Se
0.911 0.830 0.540 Se
0.710 0.130 0.040 Se
0.040 0.630 0.710 Se
0.330 0.790 0.420 Se
0.870 0.290 0.460 Se
0.460 0.790 0.870 Se
0.960 0.589 0.170 Se
0.911 0.080 0.870 Se
0.540 0.330 0.911 Se
0.920 0.089 0.630 Se
0.370 0.411 0.080 Se
0.790 0.330 0.920 Se
0.710 0.580 0.170 Se
0.790 0.460 0.370 Se
0.170 0.089 0.960 Se
0.210 0.670 0.080 Se
0.589 0.960 0.670 Se
0.420 0.130 0.589 Se
0.130 0.710 0.540 Se
0.960 0.370 0.290 Se
0.830 0.911 0.040 Se
0.290 0.420 0.830 Se
0.089 0.170 0.460 Se
0.540 0.210 0.130 Se
0.411 0.040 0.330 Se
0.089 0.920 0.130 Se
0.210 0.540 0.630 Se
0.290 0.870 0.960 Se
0.460 0.670 0.089 Se
0.630 0.040 0.210 Se
0.375 0.750 0.625 Er
0.750 0.375 0.125 Er
0.125 0.250 0.875 Er
0.875 0.125 0.250 Er
0.250 0.625 0.875 Er
0.375 0.625 0.250 Er
0.625 0.375 0.750 Er
0.125 0.875 0.750 Er
0.875 0.750 0.125 Er
0.625 0.250 0.375 Er
0.250 0.125 0.375 Er
0.750 0.875 0.625 Er
```

## Properties
**Size of the total moment**: 0.00 μB per formula unit
**Uncorrected formation energy**: -0.710 eV/atom
**Final energy**: -382.67 eV per cell